(1)
Density functional theory data (PBE) for crystalline KCdCo2 at its relaxed geometry.

The structure in CIF format:
```
data_KCdCo2
_chemical_formula_sum 'K1 Cd1 Co2'
_symmetry_space_group_name_H-M 'P 1'
_symmetry_Int_Tables_number 1
_symmetry_space_group_name_Hall 'P 1'
_cell_length_a 2.7810
_cell_length_b 4.3958
_cell_length_c 7.0604
_cell_angle_alpha 90.00
_cell_angle_beta 90.00
_cell_angle_gamma 90.00
loop_
_atom_site_label
_atom_site_fract_x
_atom_site_fract_y
_atom_site_fract_z
K1 0.5000 0.5000 0.2500
Cd1 0.5000 0.5000 0.7500
Co1 0.0000 0.0000 0.9024
Co2 0.0000 0.0000 0.5976
```

***

(2)
Density functional theory data (PBE) for crystalline KCd3Co at its relaxed geometry.

The structure in CIF format:
```
data_KCd3Co
_chemical_formula_sum 'K1 Cd3 Co1'
_symmetry_space_group_name_H-M 'P 1'
_symmetry_Int_Tables_number 1
_symmetry_space_group_name_Hall 'P 1'
_cell_length_a 5.1011
_cell_length_b 5.1011
_cell_length_c 5.1011
_cell_angle_alpha 90.00
_cell_angle_beta 90.00
_cell_angle_gamma 90.00
loop_
_atom_site_label
_atom_site_fract_x
_atom_site_fract_y
_atom_site_fract_z
Cd1 0.0000 0.0000 0.5000
Cd2 0.0000 0.5000 0.0000
Cd3 0.5000 0.0000 0.0000
K1 0.5000 0.5000 0.5000
Co1 0.0000 0.0000 0.0000
```

Calculated values
- Offset from the most stable computed form: 0.0 kJ per mole of atoms

***

(3)
Density functional theory data (PBE) for crystalline KCdCo2 at its relaxed geometry.

The structure in CIF format:
```
data_KCdCo2
_chemical_formula_sum 'K1 Cd1 Co2'
_symmetry_space_group_name_H-M 'P 1'
_symmetry_Int_Tables_number 1
_symmetry_space_group_name_Hall 'P 1'
_cell_length_a 5.4613
_cell_length_b 5.4613
_cell_length_c 2.7217
_cell_angle_alpha 90.00
_cell_angle_beta 90.00
_cell_angle_gamma 114.28
loop_
_atom_site_label
_atom_site_fract_x
_atom_site_fract_y
_atom_site_fract_z
Co1 0.5000 0.5000 0.0000
Co2 0.0000 0.0000 0.0000
Cd1 0.0000 0.5000 0.5000
K1 0.5000 0.0000 0.5000
```

***

(4)
Density functional theory data (PBE) for crystalline KCdCo2 at its relaxed geometry.

The structure in CIF format:
```
data_KCdCo2
_chemical_formula_sum 'K1 Cd1 Co2'
_symmetry_space_group_name_H-M 'P 1'
_symmetry_Int_Tables_number 1
_symmetry_space_group_name_Hall 'P 1'
_cell_length_a 3.0869
_cell_length_b 3.0857
_cell_length_c 8.3799
_cell_angle_alpha 90.00
_cell_angle_beta 90.00
_cell_angle_gamma 90.00
loop_
_atom_site_label
_atom_site_fract_x
_atom_site_fract_y
_atom_site_fract_z
K1 0.0000 0.0000 0.4672
Co1 0.0000 0.0000 0.0483
Co2 0.5000 0.5000 0.1589
Cd1 0.5000 0.5000 0.8256
```

***

Number 1: ΔH_f (0 K) 15.6 kcal/mol of atoms. Number 2: ΔH_f (0 K) 3.1 kcal/mol of atoms. Number 3: ΔH_f (0 K) 23.2 kcal/mol of atoms. Number 4: ΔH_f (0 K) 10.1 kcal/mol of atoms.